(1)
First-principles (PBE) data for an optimized crystal structure of AcNd2ErSb4, as listed in Alexandria.

```
AcNd2ErSb4
1.0
-3.826 -0.095 -2.481
3.675 -4.312 -5.504
-0.882 -7.660 1.652
Ac Nd Er Sb
1 2 1 4
direct
0.500 0.500 0.000
0.000 0.000 0.000
0.500 0.000 0.500
0.000 0.500 0.500
0.000 0.756 0.736
0.000 0.244 0.264
0.500 0.747 0.262
0.500 0.253 0.738
```

Values from the calculation:
total DFT energy (no corrections) = -5.474 eV/atom

=====

(2)
First-principles (PBE) data for an optimized crystal structure of TaWC2, as listed in Alexandria.

```
TaWC2
1.0
3.063 0.000 0.000
1.532 2.653 0.000
1.532 0.884 5.429
Ta W C
1 1 2
direct
0.494 0.494 0.517
0.670 0.670 0.989
0.081 0.081 0.756
0.254 0.254 0.237
```

Values from the calculation:
relative energy among the computed polymorphs = 0 meV/atom
formation energy = -158 meV per atom

=====

(3)
First-principles (PBE) data for an optimized crystal structure of H2RhW2, as listed in Alexandria.

```
H2RhW2
1.0
-2.758 -2.318 5.010
2.713 -5.447 -1.027
2.147 0.778 1.542
H Rh W
4 2 4
direct
0.378 0.878 0.000
0.878 0.622 0.000
0.622 0.122 0.000
0.122 0.378 0.000
0.000 0.000 0.000
0.500 0.500 0.000
0.147 0.647 0.500
0.647 0.853 0.500
0.853 0.353 0.500
0.353 0.147 0.500
```

Values from the calculation:
relative energy among the computed polymorphs = 159 meV/atom